(1)
Computed, not measured: a PBEsol-optimized structure of BaCuTe at the meta-GGA SCAN level of DFT.

abc: 3.839 3.839 6.246
angles: 108.03 108.03 89.58
Positions (direct):
1 Ba 0.000 0.000 0.000
2 Cu 0.291 0.291 0.582
3 Te 0.709 0.709 0.419

Values from the calculation:
Energy, eV per atom: -31.0491
Formation energy (no corrections), meV/atom: -382
Energy above the most stable polymorph in this dataset, eV/f.u.: 0.55



(2)
Computed, not measured: a PBEsol-optimized structure of BaCuTe at the meta-GGA SCAN level of DFT.

abc: 4.965 4.965 4.965
angles: 60.00 60.00 60.00
Positions (direct):
1 Ba 0.500 0.500 0.500
2 Cu 0.250 0.250 0.250
3 Te 0.000 0.000 0.000

Values from the calculation:
Energy, eV per atom: -31.2341
Formation energy (no corrections), meV/atom: -567
Energy above the most stable polymorph in this dataset, eV/f.u.: 0.00



(3)
Computed, not measured: a PBEsol-optimized structure of BaCuTe2 at the meta-GGA SCAN level of DFT.

abc: 4.403 4.403 7.545
angles: 73.04 73.04 60.00
Positions (direct):
1 Ba 0.500 0.500 0.500
2 Cu 0.000 0.000 0.000
3 Te 0.273 0.273 0.182
4 Te 0.727 0.727 0.818

Values from the calculation:
Energy, eV per atom: -32.9149
Formation energy (no corrections), meV/atom: -602



(4)
Computed, not measured: a PBEsol-optimized structure of BaCuTe2 at the meta-GGA SCAN level of DFT.

abc: 3.872 3.872 9.897
angles: 78.72 78.72 60.00
Positions (direct):
1 Te 0.884 0.884 0.348
2 Te 0.116 0.116 0.652
3 Ba 0.000 0.000 0.000
4 Cu 0.500 0.500 0.500

Values from the calculation:
Energy, eV per atom: -32.4211
Formation energy (no corrections), meV/atom: -108



(5)
Computed, not measured: a PBEsol-optimized structure of Ba3TlCu at the meta-GGA SCAN level of DFT.

abc: 6.007 6.007 6.007
angles: 90.00 90.00 90.00
Positions (direct):
1 Tl 0.500 0.500 0.500
2 Ba 0.000 0.500 0.000
3 Ba 0.000 0.000 0.500
4 Ba 0.500 0.000 0.000
5 Cu 0.000 0.000 0.000

Values from the calculation:
ΔH_f (0 K), eV/atom: -0.01
Energy, eV per atom: -41.2553



(6)
Computed, not measured: a PBEsol-optimized structure of BaCuW2 at the meta-GGA SCAN level of DFT.

abc: 3.905 3.905 5.190
angles: 90.00 90.00 90.00
Positions (direct):
1 Ba 0.500 0.500 0.500
2 Cu 0.000 0.000 0.500
3 W 0.000 0.500 0.000
4 W 0.500 0.000 0.000

Values from the calculation:
ΔH_f (0 K), eV/atom: 1.65
Energy, eV per atom: -46.8832
Energy above the most stable polymorph in this dataset, eV/f.u.: 2.04



(7)
Computed, not measured: a PBEsol-optimized structure of BaCu2W at the meta-GGA SCAN level of DFT.

abc: 2.979 4.383 6.623
angles: 96.98 90.00 109.87
Positions (direct):
1 Ba 0.255 0.510 0.763
2 Cu 0.021 0.042 0.095
3 Cu 0.744 0.487 0.251
4 W 0.480 0.960 0.390

Values from the calculation:
ΔH_f (0 K), eV/atom: 0.87
Energy, eV per atom: -34.0353
Energy above the most stable polymorph in this dataset, eV/f.u.: 0.79



(8)
Computed, not measured: a PBEsol-optimized structure of BaCu2W at the meta-GGA SCAN level of DFT.

abc: 3.105 3.104 7.679
angles: 90.00 90.00 90.00
Positions (direct):
1 Ba 0.500 0.500 0.500
2 Cu 0.000 0.000 0.820
3 Cu 0.000 0.000 0.180
4 W 0.500 0.500 0.000

Values from the calculation:
ΔH_f (0 K), eV/atom: 0.68
Energy, eV per atom: -34.2317
Energy above the most stable polymorph in this dataset, eV/f.u.: 0.00



(9)
Computed, not measured: a PBEsol-optimized structure of BaCuW2 at the meta-GGA SCAN level of DFT.

abc: 4.729 4.729 4.729
angles: 60.00 60.00 60.00
Positions (direct):
1 Ba 0.500 0.500 0.500
2 Cu 0.250 0.250 0.250
3 W 0.000 0.000 0.000
4 W 0.750 0.750 0.750

Values from the calculation:
ΔH_f (0 K), eV/atom: 1.47
Energy, eV per atom: -47.0603
Energy above the most stable polymorph in this dataset, eV/f.u.: 1.33



(10)
Computed, not measured: a PBEsol-optimized structure of BaCuW2 at the meta-GGA SCAN level of DFT.

abc: 3.305 3.305 7.456
angles: 90.00 90.00 90.00
Positions (direct):
1 Ba 0.500 0.500 0.000
2 Cu 0.500 0.500 0.500
3 W 0.000 0.000 0.655
4 W 0.000 0.000 0.345

Values from the calculation:
ΔH_f (0 K), eV/atom: 1.14
Energy, eV per atom: -47.3936
Energy above the most stable polymorph in this dataset, eV/f.u.: 0.00



(11)
Computed, not measured: a PBEsol-optimized structure of BaCu2W at the meta-GGA SCAN level of DFT.

abc: 4.828 4.828 4.828
angles: 60.00 60.00 60.00
Positions (direct):
1 Ba 0.000 0.000 0.000
2 Cu 0.750 0.750 0.750
3 Cu 0.250 0.250 0.250
4 W 0.500 0.500 0.500

Values from the calculation:
ΔH_f (0 K), eV/atom: 1.26
Energy, eV per atom: -33.6490
Energy above the most stable polymorph in this dataset, eV/f.u.: 2.33



(12)
Computed, not measured: a PBEsol-optimized structure of BaCu2W at the meta-GGA SCAN level of DFT.

abc: 4.723 4.723 4.723
angles: 60.00 60.00 60.00
Positions (direct):
1 Ba 0.500 0.500 0.500
2 Cu 0.000 0.000 0.000
3 Cu 0.750 0.750 0.750
4 W 0.250 0.250 0.250

Values from the calculation:
ΔH_f (0 K), eV/atom: 1.51
Energy, eV per atom: -33.3974
Energy above the most stable polymorph in this dataset, eV/f.u.: 3.34



(13)
Computed, not measured: a PBEsol-optimized structure of BaCuW2 at the meta-GGA SCAN level of DFT.

abc: 3.143 5.670 5.866
angles: 118.90 105.54 90.00
Positions (direct):
1 Ba 0.500 0.500 0.001
2 Cu 0.291 0.791 0.582
3 W 0.010 0.010 0.020
4 W 0.699 0.199 0.398

Values from the calculation:
ΔH_f (0 K), eV/atom: 1.38
Energy, eV per atom: -47.1543
Energy above the most stable polymorph in this dataset, eV/f.u.: 0.96



(14)
Computed, not measured: a PBEsol-optimized structure of Ba2CuW at the meta-GGA SCAN level of DFT.

abc: 3.186 5.797 5.797
angles: 90.00 90.00 90.00
Positions (direct):
1 Ba 0.000 0.000 0.500
2 Ba 0.000 0.500 0.000
3 Cu 0.500 0.500 0.500
4 W 0.500 0.000 0.000

Values from the calculation:
ΔH_f (0 K), eV/atom: 1.25
Energy, eV per atom: -39.7445



(15)
Computed, not measured: a PBEsol-optimized structure of BaZn2CuW at the meta-GGA SCAN level of DFT.

abc: 4.594 4.594 4.903
angles: 90.00 90.00 90.00
Positions (direct):
1 Zn 0.000 0.500 0.000
2 Zn 0.500 0.000 0.000
3 Cu 0.000 0.000 0.000
4 Ba 0.500 0.500 0.500
5 W 0.000 0.000 0.500

Values from the calculation:
ΔH_f (0 K), eV/atom: 0.85
Energy, eV per atom: -29.4441